# 1
A plane-wave DFT calculation with PBE was carried out for an optimized crystal structure of SmHS.

Properties
crystal system: tetragonal
electronic total energy: -15.3 eV/cell

POSCAR file:
```
SmHS
1.0
3.726 0.000 0.000
0.000 3.726 0.000
-1.863 -1.863 3.863
H S Sm
1 1 1
direct
0.985 0.985 0.969
0.325 0.325 0.651
0.690 0.690 0.380
```


# 2
A plane-wave DFT calculation with PBE was carried out for an optimized crystal structure of Sm2TeH2S.

Properties
crystal system: trigonal
electronic total energy: -31.5 eV/cell

POSCAR file:
```
Sm2TeH2S
1.0
3.973 0.000 0.000
-1.986 3.441 0.000
0.000 0.000 8.087
Sm Te H S
2 1 2 1
direct
0.333 0.667 0.726
0.667 0.333 0.274
0.000 0.000 0.000
0.333 0.667 0.264
0.667 0.333 0.736
0.000 0.000 0.500
```


# 3
A plane-wave DFT calculation with PBE was carried out for an optimized crystal structure of SmYHS.

Properties
crystal system: trigonal
electronic total energy: -47.4 eV/cell

POSCAR file:
```
SmYHS
1.0
-2.364 2.114 -2.184
-3.692 -1.023 -0.389
-5.035 7.416 9.236
Sm Y H S
2 2 2 2
direct
0.626 0.626 0.122
0.374 0.374 0.878
0.795 0.795 0.616
0.205 0.205 0.384
0.687 0.687 0.940
0.313 0.313 0.060
0.085 0.085 0.745
0.915 0.915 0.255
```


Which value of electronic total energy does entry 1 give?
-15.3 eV/cell